PuVO3 | GGA+U | optimized geometry

Lattice parameters (Å, degrees): 5.746 7.781 5.446 90.00 90.00 90.00
Space group Pnma (No. 62)
Inequivalent atoms, fractional coordinates:
Pu (0.063, 0.250, 0.015) (multiplicity 4)
V (0.000, 0.000, 0.500) (multiplicity 4)
O (0.042, 0.750, 0.388) (multiplicity 4)
O (0.193, 0.554, 0.810) (multiplicity 8)

Calculated values
As for the electronic total energy: -9.86 eV/atom. The volume comes out at 243 Å³ per cell. Its total moment is 1.400 μB/atom.